Entry 1:
A relaxed structure of CrSb2C. Source: Alexandria, functional GGA-PBE.

Computed properties:
Its crystal system is tetragonal. The value obtained for the raw formation energy is 912 meV/atom. The calculation puts the total energy at -0.4308 Ry/atom.

```
8
Lattice="-3.054 3.054 4.655 3.054 -3.054 4.655 3.054 3.054 -4.655" Properties=species:S:1:pos:R:3 pbc="T T T"
Cr 0.000 0.000 0.000
Cr 0.000 3.054 2.327
Sb 1.527 -1.147 3.491
Sb 1.907 1.527 1.164
Sb 1.527 4.201 -1.164
Sb 1.147 1.527 5.819
C 3.054 0.000 2.327
C 0.000 0.000 4.655
```

Entry 2:
A relaxed structure of CrSnSb2C. Source: Alexandria, functional GGA-PBE.

Computed properties:
Its crystal system is tetragonal. The value obtained for the raw formation energy is 1388 meV/atom. The calculation puts the total energy at -0.3551 Ry/atom.

```
5
Lattice="4.752 0.000 0.000 0.000 4.752 0.000 0.000 0.000 4.502" Properties=species:S:1:pos:R:3 pbc="T T T"
Cr 0.000 0.000 0.000
Sn 2.376 2.376 0.000
Sb 0.000 2.376 2.251
Sb 2.376 0.000 2.251
C 2.376 2.376 2.251
```

Entry 3:
A relaxed structure of CrTc2SbC. Source: Alexandria, functional GGA-PBE.

Computed properties:
Its crystal system is tetragonal. The value obtained for the raw formation energy is 124 meV/atom. The calculation puts the total energy at -0.6333 Ry/atom.

```
5
Lattice="4.174 0.000 0.000 0.000 4.174 0.000 0.000 0.000 3.947" Properties=species:S:1:pos:R:3 pbc="T T T"
Cr 0.000 0.000 0.000
Tc 0.000 2.087 1.974
Tc 2.087 0.000 1.974
Sb 2.087 2.087 0.000
C 0.000 0.000 1.974
```

Entry 4:
A relaxed structure of CrSbTe2C. Source: Alexandria, functional GGA-PBE.

Computed properties:
Its crystal system is tetragonal. The value obtained for the raw formation energy is 1439 meV/atom. The calculation puts the total energy at -0.3242 Ry/atom. As for the energy above the most stable polymorph in this dataset: 0 meV per atom.

```
5
Lattice="4.684 0.000 0.000 0.000 4.684 0.000 0.000 0.000 4.616" Properties=species:S:1:pos:R:3 pbc="T T T"
Cr 0.000 0.000 0.000
Sb 2.342 2.342 0.000
Te 0.000 2.342 2.308
Te 2.342 0.000 2.308
C 2.342 2.342 2.308
```

- Look up the raw formation energy of the second one.
  1388 meV/atom